[1]
# Ba2NdPaAs4

Ba2NdPaAs4 after structural relaxation (PBE-GGA, Alexandria).

Cell and atoms, written as POSCAR:
```
Ba2NdPaAs4
1.0
7.571 0.000 0.000
0.000 4.404 0.000
-2.533 0.000 7.501
Ba Nd Pa As
2 1 1 4
direct
0.000 0.000 0.000
0.500 0.500 0.000
0.000 0.500 0.500
0.500 0.000 0.500
0.253 0.000 0.709
0.278 0.500 0.296
0.722 0.500 0.704
0.747 0.000 0.291
```

Values from the calculation:
Calculated density: 6.305 Mg/m³
Total magnetization: 0.000 μB/atom
Energy of formation: -1222 meV per atom
Crystal system: monoclinic



[2]
# BaNdAs2Pd4

BaNdAs2Pd4 after structural relaxation (PBE-GGA, Alexandria).

Cell and atoms, written as POSCAR:
```
BaNdAs2Pd4
1.0
4.255 0.000 0.000
0.000 4.255 0.000
0.000 0.000 10.370
Ba Nd As Pd
1 1 2 4
direct
0.000 0.000 0.000
0.000 0.000 0.500
0.500 0.500 0.175
0.500 0.500 0.825
0.000 0.500 0.297
0.000 0.500 0.703
0.500 0.000 0.297
0.500 0.000 0.703
```

Values from the calculation:
Calculated density: 7.579 Mg/m³
Total magnetization: 0.000 μB/atom
Energy of formation: -675 meV per atom
Crystal system: tetragonal



[3]
# Ba2NdAs3Pd4

Ba2NdAs3Pd4 after structural relaxation (PBE-GGA, Alexandria).

Cell and atoms, written as POSCAR:
```
Ba2NdAs3Pd4
1.0
4.500 0.000 0.000
0.000 4.500 0.000
0.000 0.000 11.506
Ba Nd As Pd
2 1 3 4
direct
0.000 0.500 0.223
0.500 0.000 0.777
0.000 0.000 0.500
0.000 0.500 0.884
0.500 0.000 0.116
0.500 0.500 0.500
0.000 0.000 0.000
0.000 0.500 0.659
0.500 0.000 0.341
0.500 0.500 0.000
```

Values from the calculation:
Calculated density: 7.622 Mg/m³
Total magnetization: 0.000 μB/atom
Energy of formation: -807 meV per atom
Crystal system: tetragonal



[4]
# BaNdAs2Pd5

BaNdAs2Pd5 after structural relaxation (PBE-GGA, Alexandria).

Cell and atoms, written as POSCAR:
```
BaNdAs2Pd5
1.0
4.670 0.000 0.000
0.000 4.670 0.000
0.000 0.000 8.577
Ba Nd As Pd
1 1 2 5
direct
0.000 0.000 0.000
0.000 0.000 0.500
0.500 0.500 0.339
0.500 0.500 0.661
0.000 0.500 0.249
0.000 0.500 0.751
0.500 0.000 0.249
0.500 0.000 0.751
0.500 0.500 0.000
```

Values from the calculation:
Calculated density: 8.553 Mg/m³
Total magnetization: 0.000 μB/atom
Energy of formation: -624 meV per atom
Crystal system: tetragonal